[1]
Computed, not measured: a relaxed SbAs2Se crystal at the GGA-PBE level of DFT.

a = 7.650 Å, b = 7.650 Å, c = 7.650 Å
α = 29.41°, β = 29.41°, γ = 29.41°
Sites, in units of the cell vectors:
Se 0.751 0.751 0.751
Sb 0.498 0.498 0.498
As 0.260 0.260 0.260
As 0.990 0.990 0.990

Values from the calculation:
V	95.5	Å³/cell
total magnetization	0.0	Bohr magnetons per cell
distance to the lowest polymorph of the same formula	0.023	eV/atom

[2]
Computed, not measured: a relaxed ReTcI crystal at the GGA-PBE level of DFT.

a = 3.955 Å, b = 4.505 Å, c = 10.129 Å
α = 106.36°, β = 90.06°, γ = 115.91°
Sites, in units of the cell vectors:
Re 0.642 0.284 0.448
I 0.595 0.191 0.821
Tc 0.903 0.805 0.374
Tc 0.097 0.195 0.626
Re 0.358 0.716 0.552
I 0.405 0.809 0.179

Values from the calculation:
V	154.1	Å³/cell
uncorrected energy	-23.19	eV/f.u.
total magnetization	0.0	Bohr magnetons per cell

[3]
Computed, not measured: a relaxed Ce2Zn3In crystal at the GGA-PBE level of DFT.

a = 5.845 Å, b = 5.845 Å, c = 8.896 Å
α = 102.34°, β = 102.34°, γ = 110.47°
Site moments in Bohr magnetons follow the coordinates.
Sites, in units of the cell vectors:
Ce 0.789 0.789 0.000  0.61
Zn 0.668 0.172 0.840  0.01
Ce 0.250 0.750 0.500  0.87
Zn 0.828 0.332 0.160  0.01
In 0.338 0.338 0.676  0.00
Zn 0.332 0.828 0.160  0.01
In 0.662 0.662 0.324  0.00
Zn 0.166 0.166 0.333  0.01
Ce 0.211 0.211 0.000  0.61
Ce 0.750 0.250 0.500  0.87
Zn 0.172 0.668 0.840  0.01
Zn 0.834 0.834 0.667  0.01

Values from the calculation:
V	264.0	Å³/cell
total magnetization	3.7	Bohr magnetons per cell
ΔE_f	-303	meV per atom

[4]
Computed, not measured: a relaxed Cs3RbAs2S6 crystal at the GGA-PBE level of DFT.

a = 7.870 Å, b = 7.870 Å, c = 9.492 Å
α = 90.00°, β = 90.00°, γ = 120.00°
Site moments in Bohr magnetons follow the coordinates.
Sites, in units of the cell vectors:
S 0.819 0.181 0.718  0.13
Cs 0.000 0.000 0.000  0.00
S 0.819 0.639 0.718  0.13
Rb 0.000 0.000 0.500  0.02
S 0.639 0.819 0.282  0.13
Cs 0.333 0.667 0.641  0.00
S 0.361 0.181 0.718  0.13
S 0.181 0.361 0.282  0.13
As 0.667 0.333 0.787  0.16
Cs 0.667 0.333 0.359  0.00
As 0.333 0.667 0.213  0.16
S 0.181 0.819 0.282  0.13

Values from the calculation:
V	509.1	Å³/cell
uncorrected energy	-46.03	eV/f.u.
total magnetization	1.9	Bohr magnetons per cell

[5]
Computed, not measured: a relaxed BaP2S2 crystal at the GGA-PBE level of DFT.

a = 7.794 Å, b = 7.794 Å, c = 4.352 Å
α = 90.00°, β = 90.00°, γ = 90.00°
Sites, in units of the cell vectors:
Ba 0.500 0.500 0.000
Ba 0.000 0.000 0.000
S 0.159 0.341 0.500
S 0.659 0.159 0.500
P 0.902 0.598 0.000
P 0.402 0.902 0.000
S 0.841 0.659 0.500
S 0.341 0.841 0.500
P 0.098 0.402 0.000
P 0.598 0.098 0.000

Values from the calculation:
V	264.4	Å³/cell
total magnetization	0.0	Bohr magnetons per cell
distance to the lowest polymorph of the same formula	0.000	eV/atom

[6]
Computed, not measured: a relaxed Ca2OsRu crystal at the GGA-PBE level of DFT.

a = 4.889 Å, b = 4.889 Å, c = 5.893 Å
α = 86.23°, β = 86.23°, γ = 33.00°
Sites, in units of the cell vectors:
Os 0.250 0.250 0.250
Ca 0.999 0.999 0.000
Ca 0.501 0.501 0.500
Ru 0.750 0.750 0.750

Values from the calculation:
V	76.5	Å³/cell
total magnetization	0.0	Bohr magnetons per cell
distance to the lowest polymorph of the same formula	0.448	eV/atom
ΔE_f	684	meV per atom

[7]
Computed, not measured: a relaxed LiHo2NbO6 crystal at the GGA-PBE level of DFT.

a = 5.557 Å, b = 5.557 Å, c = 5.973 Å
α = 62.27°, β = 62.28°, γ = 60.00°
Sites, in units of the cell vectors:
Nb 0.318 0.318 0.046
Ho 0.025 0.025 0.925
O 0.693 0.127 0.759
Ho 0.523 0.523 0.432
O 0.961 0.584 0.220
O 0.234 0.961 0.220
O 0.421 0.693 0.759
O 0.584 0.234 0.220
Li 0.775 0.775 0.674
O 0.127 0.421 0.759

Values from the calculation:
V	134.8	Å³/cell
uncorrected energy	-81.18	eV/f.u.
total magnetization	0.0	Bohr magnetons per cell

[8]
Computed, not measured: a relaxed Hf5ZrAs3 crystal at the GGA-PBE level of DFT.

a = 7.295 Å, b = 7.295 Å, c = 9.438 Å
α = 68.15°, β = 68.15°, γ = 70.68°
Sites, in units of the cell vectors:
Hf 0.927 0.350 0.276
As 0.000 0.000 0.500
Zr 0.094 0.094 0.699
As 0.319 0.319 0.191
As 0.328 0.328 0.639
Zr 0.906 0.906 0.301
Hf 0.465 0.465 0.328
Hf 0.535 0.535 0.672
Hf 0.650 0.073 0.724
As 0.672 0.672 0.361
Hf 0.073 0.650 0.724
Hf 0.695 0.305 0.000
Hf 0.305 0.695 0.000
Hf 0.350 0.927 0.276
Hf 0.247 0.247 0.958
As 0.000 0.000 0.000
Hf 0.753 0.753 0.042
As 0.681 0.681 0.809

Values from the calculation:
V	421.8	Å³/cell
total magnetization	0.0	Bohr magnetons per cell
ΔE_f	-349	meV per atom